No. 1
Density functional theory data (GGA-PBE) for an optimized crystal structure of KTa2In.

Calculated values
For the energy relative to the elements, the calculation gives 0.85 eV/atom. The total energy comes out at -6.03 eV per atom. The density of states at the Fermi level is 0.80 states/eV per atom.

Lattice parameters (Å, degrees): 3.0391 5.1957 7.1502 90.00 98.79 90.00
Space group P2/m (No. 10)
Unique sites:
K 0.0000 0.0000 0.0000
Ta 0.2683 0.5000 0.6489
In 0.5000 0.0000 0.5000

No. 2
Density functional theory data (GGA-PBE) for an optimized crystal structure of CeThAlZn.

Calculated values
For the energy relative to the elements, the calculation gives -0.20 eV/atom. The total energy comes out at -4.80 eV per atom. The density of states at the Fermi level is 1.69 states/eV per atom.

Lattice parameters (Å, degrees): 7.3486 7.3486 7.3486 90.00 90.00 90.00
Space group F-43m (No. 216)
Unique sites:
Ce 0.0000 0.0000 0.0000
Th 0.0000 0.0000 0.5000
Al 0.2500 0.2500 0.7500
Zn 0.2500 0.2500 0.2500

No. 3
Density functional theory data (GGA-PBE) for an optimized crystal structure of CaPrPI.

Calculated values
The total energy comes out at -4.76 eV per atom. The density of states at the Fermi level is 0.47 states/eV per atom. For the energy relative to the elements, uncorrected, the calculation gives -1329 meV/atom.

Lattice parameters (Å, degrees): 4.2231 4.2231 23.2415 90.00 90.00 120.00
Space group R3m (No. 160, hexagonal axes)
Unique sites:
Ca 0.0000 0.0000 0.0000
Pr 0.0000 0.0000 0.2042
P 0.0000 0.0000 0.6049
I 0.0000 0.0000 0.4333

No. 4
Density functional theory data (GGA-PBE) for an optimized crystal structure of MgZrSbI2.

Calculated values
The total energy comes out at -3.55 eV per atom. The density of states at the Fermi level is 0.80 states/eV per atom. For the energy relative to the elements, uncorrected, the calculation gives -80 meV/atom.

Lattice parameters (Å, degrees): 5.6667 5.6667 5.8141 90.00 90.00 90.00
Space group P4/mmm (No. 123)
Unique sites:
Mg 0.0000 0.0000 0.0000
Zr 0.5000 0.5000 0.5000
Sb 0.5000 0.5000 0.0000
I 0.0000 0.5000 0.5000

No. 5
Density functional theory data (GGA-PBE) for an optimized crystal structure of Pr7NdDy2.

Calculated values
For the energy relative to the elements, the calculation gives 0.62 eV/atom. The total energy comes out at -4.12 eV per atom. The density of states at the Fermi level is 1.50 states/eV per atom.

Lattice parameters (Å, degrees): 9.0118 16.3785 5.7783 90.00 90.00 90.00
Space group Cmmm (No. 65)
Unique sites:
Pr 0.0000 0.0000 0.0000
Pr 0.0000 0.2717 0.5000
Pr 0.1800 0.3844 0.0000
Nd 0.0000 0.5000 0.5000
Dy 0.0000 0.2041 0.0000

No. 6
Density functional theory data (GGA-PBE) for an optimized crystal structure of LiZrOs2.

Calculated values
For the energy relative to the elements, the calculation gives 0.04 eV/atom. The total energy comes out at -8.19 eV per atom. The density of states at the Fermi level is 0.72 states/eV per atom.

Lattice parameters (Å, degrees): 2.7665 4.4020 5.1097 90.00 95.75 90.00
Space group P2/m (No. 10)
Unique sites:
Li 0.0000 0.0000 0.0000
Zr 0.5000 0.0000 0.5000
Os 0.2166 0.5000 0.7762

No. 7
Density functional theory data (GGA-PBE) for an optimized crystal structure of AlTl3N.

Calculated values
The total energy comes out at -2.48 eV per atom. The density of states at the Fermi level is 1.82 states/eV per atom. For the energy relative to the elements, uncorrected, the calculation gives 1351 meV/atom.

Lattice parameters (Å, degrees): 5.3318 5.3318 5.3318 90.00 90.00 90.00
Space group Pm-3m (No. 221)
Unique sites:
Al 0.0000 0.0000 0.0000
Tl 0.0000 0.0000 0.5000
N 0.5000 0.5000 0.5000

No. 8
Density functional theory data (GGA-PBE) for an optimized crystal structure of Tb2InPb4.

Calculated values
For the energy relative to the elements, the calculation gives -0.10 eV/atom. The total energy comes out at -3.93 eV per atom. The density of states at the Fermi level is 0.61 states/eV per atom.

Lattice parameters (Å, degrees): 16.7279 3.6087 7.9018 90.00 117.01 90.00
Space group C2/m (No. 12)
Unique sites:
Tb 0.2214 0.0000 0.2771
In 0.0000 0.0000 0.0000
Pb 0.0844 0.0000 0.4554
Pb 0.1323 0.5000 0.8797

No. 9
Density functional theory data (GGA-PBE) for an optimized crystal structure of Er4InIr.

Calculated values
For the energy relative to the elements, the calculation gives -0.41 eV/atom. The total energy comes out at -5.39 eV per atom. The density of states at the Fermi level is 1.00 states/eV per atom.

Lattice parameters (Å, degrees): 4.8637 4.8637 7.2989 90.00 90.00 90.00
Space group P4/mmm (No. 123)
Unique sites:
Er 0.0000 0.5000 0.2229
In 0.0000 0.0000 0.5000
Ir 0.5000 0.5000 0.0000

No. 10
Density functional theory data (GGA-PBE) for an optimized crystal structure of PmTm2Ir2.

Calculated values
For the energy relative to the elements, the calculation gives -0.76 eV/atom. The total energy comes out at -7.04 eV per atom. The density of states at the Fermi level is 0.62 states/eV per atom.

Lattice parameters (Å, degrees): 4.8001 4.8001 5.9718 90.00 90.00 120.00
Space group P-3m1 (No. 164)
Unique sites:
Pm 0.0000 0.0000 0.0000
Tm 0.3333 0.6667 0.6604
Ir 0.3333 0.6667 0.1796

No. 11
Density functional theory data (GGA-PBE) for an optimized crystal structure of Cd4AgAu3.

Calculated values
For the energy relative to the elements, the calculation gives -0.14 eV/atom. The total energy comes out at -2.18 eV per atom. The density of states at the Fermi level is 0.13 states/eV per atom.

Lattice parameters (Å, degrees): 3.0525 4.6174 11.2316 90.00 90.00 90.00
Space group Pmm2 (No. 25)
Unique sites:
Cd 0.0000 0.0000 0.0000
Cd 0.0000 0.5000 0.3266
Cd 0.5000 0.0000 0.4996
Cd 0.5000 0.5000 0.8265
Ag 0.0000 0.0000 0.7385
Au 0.0000 0.5000 0.5859
Au 0.5000 0.0000 0.2424
Au 0.5000 0.5000 0.0848

No. 12
Density functional theory data (GGA-PBE) for an optimized crystal structure of KMnBr2.

Calculated values
The total energy comes out at -4.12 eV per atom. The density of states at the Fermi level is 0.52 states/eV per atom. For the energy relative to the elements, uncorrected, the calculation gives -716 meV/atom.

Lattice parameters (Å, degrees): 15.0106 4.4068 4.0648 90.00 90.09 90.00
Space group Cm (No. 8)
Unique sites:
K 0.0000 0.0000 0.0000
Mn 0.2307 0.0000 0.5007
Br 0.1472 0.5000 0.5017
Br 0.3969 0.0000 0.4991

No. 13
Density functional theory data (GGA-PBE) for an optimized crystal structure of LiSiHgO2.

Calculated values
The total energy comes out at -4.42 eV per atom. The density of states at the Fermi level is 0.26 states/eV per atom. For the energy relative to the elements, uncorrected, the calculation gives -911 meV/atom.

Lattice parameters (Å, degrees): 3.4295 3.4295 7.0219 90.00 90.00 90.00
Space group P4/mmm (No. 123)
Unique sites:
Li 0.0000 0.0000 0.0000
Si 0.0000 0.0000 0.5000
Hg 0.5000 0.5000 0.0000
O 0.0000 0.5000 0.5000

No. 14
Density functional theory data (GGA-PBE) for an optimized crystal structure of BaNa2PtW.

Calculated values
For the energy relative to the elements, the calculation gives 1.07 eV/atom. The total energy comes out at -3.64 eV per atom. The density of states at the Fermi level is 0.86 states/eV per atom.

Lattice parameters (Å, degrees): 5.4417 5.4417 6.0082 90.00 90.00 90.00
Space group P4/mmm (No. 123)
Unique sites:
Ba 0.0000 0.0000 0.0000
Na 0.0000 0.5000 0.5000
Pt 0.0000 0.0000 0.5000
W 0.5000 0.5000 0.0000

No. 15
Density functional theory data (GGA-PBE) for an optimized crystal structure of Tb5Sm3Y2.

Calculated values
For the energy relative to the elements, the calculation gives 0.20 eV/atom. The total energy comes out at -4.83 eV per atom. The density of states at the Fermi level is 1.93 states/eV per atom.

Lattice parameters (Å, degrees): 10.7257 15.6575 9.5708 90.00 123.62 90.00
Space group C2/c (No. 15)
Unique sites:
Tb 0.0000 0.0219 0.2500
Tb 0.0000 0.2722 0.7500
Tb 0.0000 0.4702 0.7500
Tb 0.2326 0.3811 0.2173
Sm 0.0000 0.2309 0.2500
Sm 0.1423 0.1257 0.0482
Y 0.1564 0.3802 0.5462

No. 16
Density functional theory data (GGA-PBE) for an optimized crystal structure of LiMgW.

Calculated values
For the energy relative to the elements, the calculation gives 0.40 eV/atom. The total energy comes out at -5.09 eV per atom. The density of states at the Fermi level is 0.77 states/eV per atom.

Lattice parameters (Å, degrees): 2.7063 2.7063 14.0421 90.00 90.00 90.00
Space group I4mm (No. 107)
Unique sites:
Li 0.0000 0.0000 0.0000
Mg 0.0000 0.0000 0.3209
W 0.0000 0.0000 0.6595

No. 17
Density functional theory data (GGA-PBE) for an optimized crystal structure of CaTlP.

Calculated values
For the energy relative to the elements, the calculation gives -0.40 eV/atom. The total energy comes out at -3.66 eV per atom. The density of states at the Fermi level is 0.46 states/eV per atom.

Lattice parameters (Å, degrees): 7.0783 7.0783 7.0783 90.00 90.00 90.00
Space group F-43m (No. 216)
Unique sites:
Ca 0.0000 0.0000 0.0000
Tl 0.0000 0.0000 0.5000
P 0.2500 0.2500 0.7500

No. 18
Density functional theory data (GGA-PBE) for an optimized crystal structure of CsTlCl2.

Calculated values
The total energy comes out at -3.15 eV per atom. The density of states at the Fermi level is 0.00 states/eV per atom. For the energy relative to the elements, uncorrected, the calculation gives -1422 meV/atom.

Lattice parameters (Å, degrees): 7.5461 7.5461 14.7066 90.00 90.00 90.00
Space group I-42d (No. 122)
Unique sites:
Cs 0.0000 0.0000 0.0000
Tl 0.0000 0.0000 0.5000
Cl 0.2183 0.2500 0.6250

No. 19
Density functional theory data (GGA-PBE) for an optimized crystal structure of Co3SnRh.

Calculated values
For the energy relative to the elements, the calculation gives 1.09 eV/atom. The total energy comes out at -5.45 eV per atom. The density of states at the Fermi level is 1.22 states/eV per atom.

Lattice parameters (Å, degrees): 4.5567 4.5567 4.5567 90.00 90.00 90.00
Space group Pm-3m (No. 221)
Unique sites:
Co 0.0000 0.0000 0.5000
Sn 0.5000 0.5000 0.5000
Rh 0.0000 0.0000 0.0000

No. 20
Density functional theory data (GGA-PBE) for an optimized crystal structure of MgRe2Mo.

Calculated values
For the energy relative to the elements, the calculation gives 0.37 eV/atom. The total energy comes out at -8.96 eV per atom. The density of states at the Fermi level is 0.89 states/eV per atom.

Lattice parameters (Å, degrees): 2.8129 2.8129 8.0941 90.00 90.00 90.00
Space group P4/mmm (No. 123)
Unique sites:
Mg 0.0000 0.0000 0.0000
Re 0.5000 0.5000 0.2644
Mo 0.0000 0.0000 0.5000

No. 21
Density functional theory data (GGA-PBE) for an optimized crystal structure of ErThSb.

Calculated values
The total energy comes out at -5.51 eV per atom. The density of states at the Fermi level is 1.31 states/eV per atom. For the energy relative to the elements, uncorrected, the calculation gives -144 meV/atom.

Lattice parameters (Å, degrees): 8.8199 8.8199 3.8292 90.00 90.00 120.00
Space group P-62m (No. 189)
Unique sites:
Er 0.0000 0.0000 0.0000
Er 0.3333 0.6667 0.5000
Th 0.0000 0.2793 0.5000
Sb 0.0000 0.6176 0.0000

No. 22
Density functional theory data (GGA-PBE) for an optimized crystal structure of Mn2TeOs.

Calculated values
The total energy comes out at -7.62 eV per atom. The density of states at the Fermi level is 1.04 states/eV per atom. For the energy relative to the elements, uncorrected, the calculation gives 553 meV/atom.

Lattice parameters (Å, degrees): 3.0449 3.0449 25.0221 90.00 90.00 120.00
Space group R-3m (No. 166, hexagonal axes)
Unique sites:
Mn 0.0000 0.0000 0.2433
Te 0.0000 0.0000 0.0000
Os 0.0000 0.0000 0.5000

No. 23
Density functional theory data (GGA-PBE) for an optimized crystal structure of AcLaSm3Y.

Calculated values
For the energy relative to the elements, the calculation gives 0.04 eV/atom. The total energy comes out at -4.90 eV per atom. The density of states at the Fermi level is 1.79 states/eV per atom.

Lattice parameters (Å, degrees): 8.2903 5.2405 10.4583 90.00 108.73 90.00
Space group P2_1/m (No. 11)
Unique sites:
Ac 0.1658 0.2500 0.2924
La 0.4959 0.7500 0.8750
Sm 0.1683 0.7500 0.0404
Sm 0.1690 0.2500 0.7910
Sm 0.1688 0.7500 0.5443
Y 0.4977 0.2500 0.6250

No. 24
Density functional theory data (GGA-PBE) for an optimized crystal structure of Tl2BiO5.

Calculated values
The total energy comes out at -4.90 eV per atom. The density of states at the Fermi level is 0.31 states/eV per atom. For the energy relative to the elements, uncorrected, the calculation gives -729 meV/atom.

Lattice parameters (Å, degrees): 7.7114 3.8977 16.6690 90.00 90.00 90.00
Space group Pnma (No. 62)
Unique sites:
Tl 0.0996 0.2500 0.2453
Tl 0.1417 0.2500 0.5982
Bi 0.1526 0.2500 0.9289
O 0.0670 0.7500 0.1595
O 0.0952 0.7500 0.9729
O 0.1379 0.7500 0.3404
O 0.1452 0.7500 0.6933
O 0.1476 0.7500 0.5254

No. 25
Density functional theory data (GGA-PBE) for an optimized crystal structure of TiV7Si4.

Calculated values
The total energy comes out at -7.87 eV per atom. The density of states at the Fermi level is 0.70 states/eV per atom. For the energy relative to the elements, uncorrected, the calculation gives -86 meV/atom.

Lattice parameters (Å, degrees): 9.5231 4.4401 9.2566 90.00 119.79 90.00
Space group C2/m (No. 12)
Unique sites:
Ti 0.0000 0.0000 0.0000
V 0.0000 0.5000 0.0000
V 0.0368 0.0000 0.3757
V 0.1488 0.5000 0.5407
V 0.2136 0.0000 0.9124
Si 0.0821 0.5000 0.7747
Si 0.2177 0.5000 0.3159